ZrB | PBE-GGA | relaxed

```
ZrB
1.0
1.600 0.923 6.323
-1.600 0.923 6.323
0.000 -1.847 6.323
Zr B
2 2
Direct
0.091 0.091 0.091
0.909 0.909 0.909
0.334 0.334 0.334
0.666 0.666 0.666
```

Output
**Magnetic moment**: 0.00 μB per cell
**Fermi-level density of states**: 1.36 states/eV per cell
**Formation enthalpy at 0 K**: -0.711 eV/atom